Entry 1:
Computed, not measured: a crystal of Ba2AsAu relaxed with PBEsol at the meta-GGA SCAN level of DFT.

Cell: 7.8519 7.8519 7.8519 Å, 35.42 35.42 35.42°
With the nearest neighbours (Å) after each atom.
Sites, in units of the cell vectors:
Ba 0.2439 0.2439 0.2439  3 As 3.24, 3 Au 3.39
Ba 0.7561 0.7561 0.7561  3 As 3.24, 3 Au 3.39
As 0.5000 0.5000 0.5000  6 Ba 3.24
Au 0.0000 0.0000 0.0000  6 Ba 3.39

Calculated values
- Formation energy: -1.08 eV/atom


Entry 2:
Computed, not measured: a crystal of LaAl2Tl relaxed with PBEsol at the meta-GGA SCAN level of DFT.

Cell: 10.3699 10.3699 10.3699 Å, 153.82 153.82 37.36°
With the nearest neighbours (Å) after each atom.
Sites, in units of the cell vectors:
La 0.0000 0.0000 0.0000  4 Al 3.24, 4 Tl 3.32
La 0.7500 0.2500 0.5000  4 Al 3.24, 4 Tl 3.32
Al 0.2499 0.6250 0.1249  2 Al 2.63, 2 Tl 2.78
Al 0.3750 0.4999 0.6249  2 Al 2.63, 2 Tl 2.78
Al 0.5001 0.1250 0.8751  2 Al 2.63, 2 Tl 2.78
Al 0.8750 0.7501 0.3751  2 Al 2.63, 2 Tl 2.78
Tl 0.2500 0.7500 0.5000  4 Al 2.78
Tl 0.5000 0.5000 0.0000  4 Al 2.78

Calculated values
- Formation energy: -0.07 eV/atom
- Energy above the most stable polymorph in this dataset: 0.72 eV/f.u.


Entry 3:
Computed, not measured: a crystal of Ta2SiTc relaxed with PBEsol at the meta-GGA SCAN level of DFT.

Cell: 5.2875 5.2875 5.2875 Å, 144.98 132.74 60.16°
With the nearest neighbours (Å) after each atom.
Sites, in units of the cell vectors:
Ta 0.0000 0.0000 0.0000  4 Si 2.66, 2 Tc 2.73, 2 Ta 2.84
Ta 0.7432 0.2432 0.5000  4 Tc 2.65, 2 Ta 2.84, 4 Si 2.96-2.97
Si 0.4696 0.4696 0.0000  2 Tc 2.62, 4 Ta 2.66
Tc 0.2426 0.7426 0.5000  2 Si 2.62, 6 Ta 2.65-2.73

Calculated values
- Formation energy without anion corrections: -1.2 eV per formula unit


Asked for total magnetization across the records above, the calculation gives 0.02; 0.00; 0.00 μB/cell in order.